# 1
A plane-wave DFT calculation with PBE was carried out for a relaxed structure of KCaPt2Se.

abc: 5.008 5.257 5.008
angles: 90.00 90.00 90.00
Element x y z (fractional)
1 K 0.500 0.500 0.500
2 Ca 0.000 0.500 0.000
3 Se 0.000 0.000 0.000
4 Pt 0.000 0.000 0.500
5 Pt 0.500 0.000 0.000

Space group: P4/mmm (123)
Uncorrected formation energy in meV per atom: -170

# 2
A plane-wave DFT calculation with PBE was carried out for a relaxed structure of KSr2CaPt.

abc: 6.088 6.088 5.812
angles: 90.00 90.00 90.00
Element x y z (fractional)
1 Sr 0.000 0.500 0.000
2 Sr 0.500 0.000 0.000
3 Ca 0.000 0.000 0.500
4 K 0.500 0.500 0.500
5 Pt 0.000 0.000 0.000

Space group: P4/mmm (123)
Electronic total energy in eV per formula unit: -14.5

# 3
A plane-wave DFT calculation with PBE was carried out for a relaxed structure of KCaTiPt2.

abc: 4.869 5.191 4.869
angles: 90.00 90.00 90.00
Site moments in Bohr magnetons follow the coordinates.
Element x y z (fractional)
1 Ca 0.500 0.500 0.500  0.00
2 K 0.000 0.500 0.000  0.02
3 Pt 0.000 0.000 0.500  -0.01
4 Pt 0.500 0.000 0.000  0.00
5 Ti 0.000 0.000 0.000  0.24

Space group: P4/mmm (123)
Electronic total energy in eV per formula unit: -22.2

# 4
A plane-wave DFT calculation with PBE was carried out for a relaxed structure of KCaTl2Pt.

abc: 5.475 5.475 5.488
angles: 90.00 90.00 90.00
Element x y z (fractional)
1 K 0.500 0.500 0.500
2 Tl 0.000 0.500 0.000
3 Tl 0.500 0.000 0.000
4 Ca 0.000 0.000 0.500
5 Pt 0.000 0.000 0.000

Space group: P4/mmm (123)
Electronic total energy in eV per formula unit: -15.0

# 5
A plane-wave DFT calculation with PBE was carried out for a relaxed structure of KCa2YPt.

abc: 5.824 5.824 5.501
angles: 90.00 90.00 90.00
Element x y z (fractional)
1 Y 0.000 0.000 0.500
2 Ca 0.000 0.500 0.000
3 Ca 0.500 0.000 0.000
4 K 0.500 0.500 0.500
5 Pt 0.000 0.000 0.000

Space group: P4/mmm (123)
Electronic total energy in eV per formula unit: -19.4

# 6
A plane-wave DFT calculation with PBE was carried out for a relaxed structure of KCaZn2Pt.

abc: 5.070 5.070 5.367
angles: 90.00 90.00 90.00
Element x y z (fractional)
1 K 0.500 0.500 0.500
2 Zn 0.000 0.500 0.000
3 Zn 0.500 0.000 0.000
4 Ca 0.000 0.000 0.500
5 Pt 0.000 0.000 0.000

Space group: P4/mmm (123)
Electronic total energy in eV per formula unit: -13.2